1.
DFT (PBE) results for an optimized crystal structure of AcEu2Cl.

Computed properties:
- Uncorrected formation energy: -0.704 eV per atom
- Distance to the lowest polymorph of the same formula: 0.53 eV/f.u.
- Electronic total energy: -7.330 eV per atom
- V: 36.2 Å³/atom
- SG: P4/mmm

Unit cell a=3.744 b=3.744 c=10.321 alpha=90.00 beta=90.00 gamma=90.00
Positions (direct):
Ac 0.500 0.500 0.500
Cl 0.500 0.500 0.000
Eu 0.000 0.000 0.794
Eu 0.000 0.000 0.206

2.
DFT (PBE) results for an optimized crystal structure of Ce6Mg15Hg8.

Computed properties:
- Electronic total energy: -2.284 eV per atom
- V: 25.2 Å³/atom
- SG: Fm-3m
- Energy of formation from the pure elements: -0.149 eV per atom

Unit cell a=10.107 b=10.107 c=10.107 alpha=60.00 beta=60.00 gamma=60.00
Positions (direct):
Mg 0.667 0.667 0.000
Mg 0.667 0.667 0.667
Mg 0.333 0.333 0.333
Mg 0.500 0.500 0.000
Mg 0.000 0.500 0.500
Mg 0.667 0.000 0.667
Mg 0.500 0.000 0.500
Mg 0.000 0.000 0.500
Mg 0.333 0.333 0.000
Mg 0.333 0.000 0.333
Mg 0.000 0.333 0.333
Mg 0.000 0.500 0.000
Mg 0.000 0.667 0.667
Mg 0.000 0.000 0.000
Mg 0.500 0.000 0.000
Ce 0.274 0.726 0.274
Ce 0.274 0.274 0.726
Ce 0.726 0.726 0.274
Ce 0.726 0.274 0.274
Ce 0.274 0.726 0.726
Ce 0.726 0.274 0.726
Hg 0.873 0.873 0.381
Hg 0.873 0.873 0.873
Hg 0.619 0.127 0.127
Hg 0.127 0.619 0.127
Hg 0.381 0.873 0.873
Hg 0.873 0.381 0.873
Hg 0.127 0.127 0.127
Hg 0.127 0.127 0.619

3.
DFT (PBE) results for an optimized crystal structure of Pr2NdInN.

Computed properties:
- Uncorrected formation energy: -0.837 eV per atom
- Electronic total energy: -5.916 eV per atom
- V: 26.1 Å³/atom
- SG: P4/mmm

Unit cell a=5.043 b=5.087 c=5.087 alpha=90.00 beta=90.00 gamma=90.00
Positions (direct):
Pr 0.000 0.500 0.000
Pr 0.000 0.000 0.500
In 0.500 0.500 0.500
Nd 0.500 0.000 0.000
N 0.000 0.000 0.000

4.
DFT (PBE) results for an optimized crystal structure of BaLi2PmBi2.

Computed properties:
- Electronic total energy: -3.789 eV per atom
- V: 29.6 Å³/atom
- SG: P-3m1
- Energy of formation from the pure elements: -0.745 eV per atom

Unit cell a=4.967 b=4.967 c=8.300 alpha=90.00 beta=90.00 gamma=120.00
Positions (direct):
Li 0.333 0.667 0.688
Li 0.667 0.333 0.312
Pm 0.000 0.000 0.500
Bi 0.667 0.333 0.721
Bi 0.333 0.667 0.279
Ba 0.000 0.000 0.000